The following is a PBE-GGA calculation of Hf6InSn after structural relaxation, from Alexandria via LeMat-Bulk.

The structure in POSCAR format:
```
Hf6InSn
1.0
4.4280 0.0000 0.0000
0.0000 4.4280 0.0000
0.0000 0.0000 8.8572
Hf In Sn
6 1 1
Cartesian
0.0000 2.2140 2.2199
2.2140 0.0000 2.2199
0.0000 2.2140 6.6373
2.2140 2.2140 4.4286
2.2140 0.0000 6.6373
2.2140 2.2140 0.0000
0.0000 0.0000 0.0000
0.0000 0.0000 4.4286
```

Excess energy over the best structure of this formula in the dataset: 0.0 meV per atom
Space group: P4/mmm (123)
M_tot: 0.00 μB per formula unit
Crystal system: tetragonal
E: -8.492 eV/atom



The following is a PBE-GGA calculation of HfInSn3 after structural relaxation, from Alexandria via LeMat-Bulk.

The structure in POSCAR format:
```
HfInSn3
1.0
-1.6213 0.3481 -5.2920
2.3223 -4.9284 -1.0357
-4.7680 -2.5188 1.2950
Sn Hf In
3 1 1
Cartesian
-2.3840 -1.2594 0.6475
1.1611 -2.4642 -0.5178
-0.8106 0.1741 -2.6460
0.0000 0.0000 0.0000
-2.0335 -3.5495 -2.5163
```

Excess energy over the best structure of this formula in the dataset: 0.0 meV per atom
Space group: Pm-3m (221)
M_tot: 0.00 μB per formula unit
Crystal system: cubic
E: -4.684 eV/atom



The following is a PBE-GGA calculation of HfInSn3 after structural relaxation, from Alexandria via LeMat-Bulk.

The structure in POSCAR format:
```
HfInSn3
1.0
-2.5889 -2.8016 -3.9021
4.7699 -2.0237 -1.7117
-0.5683 -4.2229 3.4090
Sn Hf In
3 1 1
Cartesian
-1.2945 -1.4008 -1.9510
2.3850 -1.0119 -0.8559
-0.2841 -2.1115 1.7045
0.8064 -4.5241 -1.1024
0.0000 0.0000 0.0000
```

Excess energy over the best structure of this formula in the dataset: 777.2 meV per atom
Space group: Pm-3m (221)
M_tot: 0.00 μB per formula unit
Crystal system: cubic
E: -3.907 eV/atom



The following is a PBE-GGA calculation of Hf4InSn3 after structural relaxation, from Alexandria via LeMat-Bulk.

The structure in POSCAR format:
```
Hf4InSn3
1.0
5.4411 0.0000 0.0000
0.0000 11.3668 0.0000
0.0000 0.0000 6.1865
Sn Hf In
6 8 2
Cartesian
0.2095 0.7608 3.0933
0.4712 6.4308 1.5518
0.4712 6.4308 4.6347
2.9301 10.6060 0.0000
3.1917 4.9359 1.5414
3.1917 4.9359 4.6451
0.4815 3.3578 1.5348
2.9257 2.3755 3.0933
0.2052 8.9913 0.0000
0.4815 3.3578 4.6518
3.2020 8.0090 4.6280
3.2020 8.0090 1.5585
2.9617 2.3282 0.0000
0.2412 9.0386 3.0933
2.9629 10.6629 3.0933
0.2424 0.7039 0.0000
```

Space group: Pmn2_1 (31)
M_tot: 0.00 μB per formula unit
Crystal system: orthorhombic
E: -6.849 eV/atom



The following is a PBE-GGA calculation of Hf4InSn2 after structural relaxation, from Alexandria via LeMat-Bulk.

The structure in POSCAR format:
```
Hf4InSn2
1.0
-2.5623 4.3417 -5.4991
-4.5164 -5.8767 0.8471
0.2138 3.9039 6.3521
Hf Sn In
8 4 2
Cartesian
-5.3189 -3.0973 0.3409
-4.9131 2.4642 -0.4905
-3.0492 -0.1732 -0.0962
-1.2313 0.0581 2.6633
-5.0234 0.4954 -3.6546
-4.6592 1.2637 3.5007
-0.9980 3.1510 3.6512
-2.2663 5.3138 0.8854
-2.4026 1.0141 5.3117
-2.8344 2.3875 1.5357
-5.8000 -0.4018 -0.9999
-2.6919 1.7367 -2.4484
-3.9220 -1.3709 2.4381
-4.5164 -5.8745 0.8467
```

Space group: I-42d (122)
M_tot: 0.00 μB per formula unit
Crystal system: tetragonal
E: -7.405 eV/atom



The following is a PBE-GGA calculation of Hf3In2Sn after structural relaxation, from Alexandria via LeMat-Bulk.

The structure in POSCAR format:
```
Hf3In2Sn
1.0
-2.7314 0.0351 -1.4409
2.4127 1.5133 -4.5366
-0.2239 -8.4687 0.2182
Hf In Sn
3 2 1
Cartesian
-1.0498 -2.4623 -1.3797
0.5072 -4.4581 -4.3796
-0.1594 0.7742 -2.9888
1.5415 -1.8740 -2.9676
0.6473 -5.0815 -1.3508
0.0000 0.0000 0.0000
```

Excess energy over the best structure of this formula in the dataset: 0.0 meV per atom
Space group: Cmmm (65)
M_tot: 0.00 μB per formula unit
Crystal system: orthorhombic
E: -6.612 eV/atom



The following is a PBE-GGA calculation of Hf12InSn6 after structural relaxation, from Alexandria via LeMat-Bulk.

The structure in POSCAR format:
```
Hf12InSn6
1.0
-4.8932 5.5310 -3.7928
-4.3361 -6.7234 2.2167
3.7163 3.4041 6.5971
Hf Sn In
12 6 1
Cartesian
-0.6781 0.5448 3.0226
1.4921 1.8445 4.8443
-2.1706 -1.7804 6.4308
-3.6659 -3.6235 1.5895
-3.5415 -0.0956 4.1949
-1.8471 5.8352 3.4316
-1.9715 2.3073 0.8262
-7.0051 0.3672 0.1767
-3.3424 3.9921 -1.4098
-2.6619 2.8570 3.8601
-4.8349 1.6669 1.9984
-2.8511 -0.6453 1.1610
-4.1811 0.9890 -0.9192
-1.3319 1.2227 5.9403
-5.5639 -1.3265 2.4165
-1.5077 -2.2654 3.4496
-4.0053 4.4771 1.5714
0.0509 3.5382 2.6045
0.0000 0.0000 0.0000
```

Space group: R-3 (148)
M_tot: 0.00 μB per formula unit
Crystal system: trigonal
E: -7.936 eV/atom



The following is a PBE-GGA calculation of HfInSn2 after structural relaxation, from Alexandria via LeMat-Bulk.

The structure in POSCAR format:
```
HfInSn2
1.0
-1.9601 -1.3102 -2.2132
-2.2890 -2.0968 0.9061
-8.9789 7.7430 1.0060
Sn In Hf
2 1 1
Cartesian
-6.1403 -1.1866 -0.9465
-7.0877 5.5227 0.6455
-6.6140 2.1680 -0.1505
0.0000 0.0000 0.0000
```

Space group: R-3m (166)
M_tot: 0.00 μB per formula unit
Crystal system: trigonal
E: -4.913 eV/atom



The following is a PBE-GGA calculation of Hf12In5Sn2 after structural relaxation, from Alexandria via LeMat-Bulk.

The structure in POSCAR format:
```
Hf12In5Sn2
1.0
8.6708 0.0000 0.0000
-4.3354 6.5808 1.0402
0.0000 -1.1951 7.4355
Hf In Sn
12 5 2
Cartesian
2.7579 3.6579 6.4357
4.3354 0.4234 2.4728
-1.6841 4.6532 3.5795
0.0000 4.9623 6.0029
1.5775 1.7279 2.0401
1.6841 4.6532 3.5795
7.0933 1.7279 2.0401
0.0000 0.1245 6.6973
4.3354 5.2613 1.7784
6.0196 0.7325 4.8963
2.6513 0.7325 4.8963
-2.7579 3.6579 6.4357
4.3354 3.0269 3.7693
0.0000 -0.5975 3.7178
0.0000 4.0104 0.7962
0.0000 2.3588 4.7064
4.3354 1.3753 7.6795
6.0813 0.0000 0.0000
2.5895 0.0000 0.0000
```

Space group: C2/m (12)
M_tot: 0.00 μB per formula unit
Crystal system: monoclinic
E: -7.422 eV/atom



The following is a PBE-GGA calculation of Hf5InSn4 after structural relaxation, from Alexandria via LeMat-Bulk.

The structure in POSCAR format:
```
Hf5InSn4
1.0
5.8087 0.0000 0.0000
2.9044 6.4933 0.0000
2.9044 0.0000 6.4933
Hf Sn In
5 4 1
Cartesian
2.9179 0.0000 0.0000
5.8128 1.2983 2.6160
8.7172 2.6160 5.1950
2.9085 3.8773 1.2983
5.8128 5.1950 3.8773
8.7174 5.1917 3.8952
5.8130 3.8952 1.3016
2.9086 1.3016 2.5981
5.8130 2.5981 5.1917
0.0130 0.0000 0.0000
```

Space group: I4 (79)
M_tot: 0.00 μB per formula unit
Crystal system: tetragonal
E: -6.887 eV/atom